Run P
The following is a PBEsol calculation of an optimized crystal structure of Tl3Au, from the Alexandria database.

Cell: 3.4801 3.4801 8.3449 Å, 90.00 90.00 90.00°
Last column: nearest neighbours and their distance in Å.
Atoms (fractional coordinates):
Tl: 0.5000 0.5000 0.2105  4 Au 3.02
Tl: 0.5000 0.5000 0.7895  4 Au 3.02
Tl: 0.0000 0.0000 0.5000  12 Tl 3.45-3.48
Au: 0.0000 0.0000 0.0000  8 Tl 3.02


Run Q
The following is a PBEsol calculation of an optimized crystal structure of Tl3Au, from the Alexandria database.

Cell: 6.5485 7.0770 8.9031 Å, 90.00 90.00 90.00°
Last column: nearest neighbours and their distance in Å.
Atoms (fractional coordinates):
Tl: 0.1617 0.3007 0.0514  3 Au 2.89-3.05
Tl: 0.1617 0.3007 0.4486  3 Au 2.89-3.05
Tl: 0.8383 0.6993 0.9486  3 Au 2.89-3.05
Tl: 0.3383 0.8007 0.4486  3 Au 2.89-3.05
Tl: 0.3960 0.5037 0.7500  2 Au 2.91-2.93
Tl: 0.3383 0.8007 0.0514  3 Au 2.89-3.05
Tl: 0.6617 0.1993 0.9486  3 Au 2.89-3.05
Tl: 0.8383 0.6993 0.5514  3 Au 2.89-3.05
Tl: 0.1040 0.0037 0.7500  2 Au 2.91-2.93
Tl: 0.8960 0.9963 0.2500  2 Au 2.91-2.93
Tl: 0.6040 0.4963 0.2500  2 Au 2.91-2.93
Tl: 0.6617 0.1993 0.5514  3 Au 2.89-3.05
Au: 0.9661 0.3978 0.7500  8 Tl 2.89-3.05
Au: 0.5339 0.8978 0.7500  8 Tl 2.89-3.05
Au: 0.0339 0.6022 0.2500  8 Tl 2.89-3.05
Au: 0.4661 0.1022 0.2500  8 Tl 2.89-3.05


Most stable structure - run Q; separation to the second - 0.014 eV/atom.